VASP calculation (GGA-PBEsol) on crystalline Li3V5O12 at its relaxed geometry.

Computed properties:
Formation energy without anion corrections ... -2334 meV per atom

Cell lengths 5.5398, 6.6598, 6.6598 Å; angles 76.10, 73.38, 73.38 degrees
Closest atoms and distances in Å follow each position.
Positions (direct):
V 0.5000 0.9299 0.0701  6 O 1.89-1.98
O 0.3062 0.5939 0.6978  2 V 1.76-1.88
V 0.9739 0.6246 0.8205  4 O 1.71-1.76
O 0.6938 0.3022 0.4061  2 V 1.76-1.88
O 0.4572 0.6542 0.0891  2 V 1.72-1.89
Li 0.5000 0.2924 0.7076  4 O 1.97-1.98
O 0.2040 0.3705 0.3180  2 V 1.73-1.91
O 0.4330 0.0051 0.7899  2 V 1.77-1.93, 1 Li 1.97
V 0.0261 0.1795 0.3754  4 O 1.71-1.76
V 0.4494 0.8340 0.6166  4 O 1.72-1.91
V 0.5506 0.3834 0.1660  4 O 1.72-1.91
O 0.5428 0.9109 0.3458  2 V 1.72-1.89
O 0.0771 0.0198 0.6098  1 V 1.71
O 0.5670 0.2101 0.9949  2 V 1.77-1.93, 1 Li 1.97
Li 0.0000 0.0886 0.9114  6 O 2.07-2.25
O 0.8777 0.8058 0.9938  1 V 1.74
Li 0.0000 0.7199 0.2801  4 O 2.10-2.27
O 0.9229 0.3902 0.9802  1 V 1.71
O 0.1223 0.0062 0.1942  1 V 1.74
O 0.7960 0.6820 0.6295  2 V 1.73-1.91

=====

VASP calculation (GGA-PBEsol) on crystalline TiMnCo2 at its relaxed geometry.

Computed properties:
Energy of formation ... -0.24 eV/atom

Cell lengths 4.0636, 4.0636, 4.0636 Å; angles 60.00, 60.00, 60.00 degrees
Closest atoms and distances in Å follow each position.
Positions (direct):
Co 0.2500 0.2500 0.2500  4 Mn 2.49, 4 Ti 2.49
Mn 0.5000 0.5000 0.5000  8 Co 2.49
Ti 0.0000 0.0000 0.0000  8 Co 2.49
Co 0.7500 0.7500 0.7500  4 Ti 2.49, 4 Mn 2.49